Record 1
A relaxed Tb6Ce2Nd3Tm crystal. Source: Alexandria, functional PBE-GGA.

Results
- Formation energy from the elements: 0.5 eV per formula unit
- Crystal system: monoclinic
- E: -57.9 eV/f.u.
- Volume: 32.28 Å³ per atom
- Magnetic moment: 3.96 Bohr magnetons per cell
- Fermi-level density of states: 42.30 states/eV/cell

a = 6.1982 Å, b = 10.7335 Å, c = 11.8277 Å
α = 90.00°, β = 100.06°, γ = 90.00°
Space group C2/m (No. 12)
Symmetry-distinct sites (fractional):
1 Tb 0.2467 0.0000 0.2453
2 Tb 0.2494 0.3324 0.2451
3 Ce 0.0000 0.1664 0.0000
4 Nd 0.0000 0.0000 0.5000
5 Nd 0.0000 0.3339 0.5000
6 Tm 0.0000 0.5000 0.0000


Record 2
A relaxed InAuIN2 crystal. Source: Alexandria, functional PBE-GGA.

Results
- Crystal system: tetragonal
- Formation energy from raw total energies: 1.51 eV per atom
- E: -16.7 eV/f.u.
- Volume: 26.64 Å³ per atom
- Magnetic moment: 3.49 Bohr magnetons per cell
- Distance to the lowest polymorph of the same formula: 0.000 eV/atom
- Fermi-level density of states: 2.58 states/eV/cell

a = 4.2575 Å, b = 4.2575 Å, c = 7.3487 Å
α = 90.00°, β = 90.00°, γ = 90.00°
Space group P4/mmm (No. 123)
Symmetry-distinct sites (fractional):
1 In 0.0000 0.0000 0.0000
2 Au 0.5000 0.5000 0.5000
3 I 0.5000 0.5000 0.0000
4 N 0.0000 0.5000 0.5000


Record 3
A relaxed CaNiAsSe2 crystal. Source: Alexandria, functional PBE-GGA.

Results
- Crystal system: tetragonal
- Formation energy from raw total energies: -0.48 eV per atom
- E: -21.8 eV/f.u.
- Volume: 22.39 Å³ per atom
- Magnetic moment: 0.00 Bohr magnetons per cell
- Distance to the lowest polymorph of the same formula: 0.000 eV/atom
- Fermi-level density of states: 2.23 states/eV/cell

a = 5.0801 Å, b = 5.0801 Å, c = 4.3380 Å
α = 90.00°, β = 90.00°, γ = 90.00°
Space group P4/mmm (No. 123)
Symmetry-distinct sites (fractional):
1 Ca 0.0000 0.0000 0.0000
2 Ni 0.5000 0.5000 0.5000
3 As 0.5000 0.5000 0.0000
4 Se 0.0000 0.5000 0.5000


Record 4
A relaxed TaReSe2Br crystal. Source: Alexandria, functional PBE-GGA.

Results
- Crystal system: tetragonal
- Formation energy from raw total energies: 0.99 eV per atom
- E: -28.0 eV/f.u.
- Volume: 26.41 Å³ per atom
- Magnetic moment: 5.65 Bohr magnetons per cell
- Distance to the lowest polymorph of the same formula: 0.000 eV/atom
- Fermi-level density of states: 2.56 states/eV/cell

a = 5.0620 Å, b = 5.0620 Å, c = 5.1532 Å
α = 90.00°, β = 90.00°, γ = 90.00°
Space group P4/mmm (No. 123)
Symmetry-distinct sites (fractional):
1 Ta 0.0000 0.0000 0.0000
2 Re 0.5000 0.5000 0.5000
3 Se 0.0000 0.5000 0.0000
4 Br 0.0000 0.0000 0.5000